# 1
Compound: Te2IrAu
Source: Alexandria via LeMat-Bulk
Functional: PBE-GGA
Structure: optimized geometry

Lattice parameters (Å, degrees): 6.078 7.598 3.625 90.00 90.00 90.00
Space group Cmmm (No. 65)
Asymmetric unit:
Te  0.250  0.250  0.000
Ir  0.000  0.000  0.500
Au  0.000  0.500  0.500

The value obtained for the theoretical density is 12.78 g/cm3. Its density of states at the Fermi level is 2.53 states/eV/f.u. As for the total magnetic moment: 0.00 μB per cell. The calculation puts the energy relative to the elements, uncorrected at 482 meV per atom. The calculation puts the calculated volume at 20.9 Å³/atom. The calculation puts the total energy at -4.12 eV/atom.

***

# 2
Compound: ZnGaN2
Source: Alexandria via LeMat-Bulk
Functional: PBE-GGA
Structure: optimized geometry

Lattice parameters (Å, degrees): 3.2155 3.2155 16.0143 90.00 90.00 120.00
Space group R3m (No. 160, hexagonal axes)
Asymmetric unit:
Zn  0.0000  0.0000  0.0000
Ga  0.0000  0.0000  0.5017
N  0.0000  0.0000  0.3792
N  0.0000  0.0000  0.8736

The value obtained for the theoretical density is 5.67 g/cm3. Its density of states at the Fermi level is 2.11 states/eV/f.u. As for the total magnetic moment: 0.00 μB per cell. The calculation puts the energy relative to the elements, uncorrected at 78 meV per atom. The calculation puts the calculated volume at 11.9 Å³/atom. The calculation puts the total energy at -5.16 eV/atom.

***

| no. | offset from the most stable computed form (eV per formula unit) |
| --- | --- |
| 1 | 2.55 |
| 2 | 0.00 |